# H2OsPt, relaxed, DFT GGA-PBEsol
# Fermi-level density of states   3.273 states/eV/f.u.
# Final energy   -0.20321 Ha/atom
# M_tot   0.0 μB/f.u.
data_H2OsPt
_chemical_formula_sum 'H8 Os4 Pt4'
_cell_length_a 5.265
_cell_length_b 5.265
_cell_length_c 5.265
_cell_angle_alpha 90.00
_cell_angle_beta 90.00
_cell_angle_gamma 90.00
_symmetry_space_group_name_H-M 'F m -3 m'
_symmetry_Int_Tables_number 225
_symmetry_space_group_name_Hall '-F 4 2 3'
loop_
_atom_site_label
_atom_site_fract_x
_atom_site_fract_y
_atom_site_fract_z
H1 0.250 0.250 0.250
Os1 0.000 0.000 0.000
Pt1 0.000 0.000 0.500

=====

# Sb2WAu, relaxed, DFT GGA-PBEsol
# Fermi-level density of states   2.912 states/eV/f.u.
# Final energy   -0.23446 Ha/atom
# M_tot   0.0 μB/f.u.
# E_form (uncorrected)   0.33 eV/atom
data_Sb2WAu
_chemical_formula_sum 'Sb2 W1 Au1'
_cell_length_a 3.515
_cell_length_b 4.330
_cell_length_c 5.525
_cell_angle_alpha 90.00
_cell_angle_beta 108.15
_cell_angle_gamma 90.00
_symmetry_space_group_name_H-M 'P 1 m 1'
_symmetry_Int_Tables_number 6
loop_
_symmetry_equiv_pos_as_xyz
'x,y,z'
'x,-y,z'
loop_
_atom_site_label
_atom_site_fract_x
_atom_site_fract_y
_atom_site_fract_z
Sb1 0.000 0.000 0.000
Sb2 0.289 0.500 0.576
W1 0.569 0.500 0.139
Au1 0.749 0.000 0.483

=====

# Zn2FeMo, relaxed, DFT GGA-PBEsol
# Fermi-level density of states   1.610 states/eV/f.u.
# Final energy   -0.21648 Ha/atom
# M_tot   2.6 μB/f.u.
# Formation energy from the elements   0.083 eV/atom
data_Zn2FeMo
_chemical_formula_sum 'Zn2 Fe1 Mo1'
_cell_length_a 2.582
_cell_length_b 2.582
_cell_length_c 7.957
_cell_angle_alpha 90.00
_cell_angle_beta 90.00
_cell_angle_gamma 90.00
_symmetry_space_group_name_H-M 'P 4/m m m'
_symmetry_Int_Tables_number 123
_symmetry_space_group_name_Hall '-P 4 2'
loop_
_atom_site_label
_atom_site_fract_x
_atom_site_fract_y
_atom_site_fract_z
Zn1 0.000 0.000 0.234
Fe1 0.500 0.500 0.000
Mo1 0.500 0.500 0.500

=====

# Mg2CoRh, relaxed, DFT GGA-PBEsol
# Fermi-level density of states   2.730 states/eV/f.u.
# Final energy   -0.17894 Ha/atom
# M_tot   2.1 μB/f.u.
# Formation energy from the elements   -0.042 eV/atom
data_Mg2CoRh
_chemical_formula_sum 'Mg2 Co1 Rh1'
_cell_length_a 2.960
_cell_length_b 2.960
_cell_length_c 7.121
_cell_angle_alpha 90.00
_cell_angle_beta 90.00
_cell_angle_gamma 90.00
_symmetry_space_group_name_H-M 'P 4 m m'
_symmetry_Int_Tables_number 99
loop_
_symmetry_equiv_pos_as_xyz
'x,y,z'
'-y,x,z'
'-x,-y,z'
'y,-x,z'
'-x,y,z'
'y,x,z'
'x,-y,z'
'-y,-x,z'
loop_
_atom_site_label
_atom_site_fract_x
_atom_site_fract_y
_atom_site_fract_z
Mg1 0.000 0.000 0.000
Mg2 0.500 0.500 0.344
Co1 0.500 0.500 0.774
Rh1 0.000 0.000 0.580

=====

# BaZr3Co, relaxed, DFT GGA-PBEsol
# Fermi-level density of states   9.372 states/eV/f.u.
# Final energy   -0.19121 Ha/atom
# M_tot   2.0 μB/f.u.
# Formation energy from the elements   2.228 eV/atom
data_BaZr3Co
_chemical_formula_sum 'Ba1 Zr3 Co1'
_cell_length_a 5.152
_cell_length_b 5.152
_cell_length_c 5.152
_cell_angle_alpha 90.00
_cell_angle_beta 90.00
_cell_angle_gamma 90.00
_symmetry_space_group_name_H-M 'P m -3 m'
_symmetry_Int_Tables_number 221
_symmetry_space_group_name_Hall '-P 4 2 3'
loop_
_atom_site_label
_atom_site_fract_x
_atom_site_fract_y
_atom_site_fract_z
Ba1 0.000 0.000 0.000
Zr1 0.000 0.000 0.500
Co1 0.500 0.500 0.500

=====

# Ag5TePO4, relaxed, DFT GGA-PBEsol
# Fermi-level density of states   0.052 states/eV/f.u.
# Final energy   -0.18706 Ha/atom
# M_tot   0.0 μB/f.u.
# E_form (uncorrected)   -0.83 eV/atom
data_Ag5TePO4
_chemical_formula_sum 'Ag10 Te2 P2 O8'
_cell_length_a 6.901
_cell_length_b 6.901
_cell_length_c 7.271
_cell_angle_alpha 90.00
_cell_angle_beta 90.00
_cell_angle_gamma 90.00
_symmetry_space_group_name_H-M 'P 4/n m m'
_symmetry_Int_Tables_number 129
loop_
_symmetry_equiv_pos_as_xyz
'x,y,z'
'-x,-y,-z'
'-y+1/2,x,z'
'y+1/2,-x,-z'
'-x+1/2,-y+1/2,z'
'x+1/2,y+1/2,-z'
'y,-x+1/2,z'
'-y,x+1/2,-z'
'x+1/2,-y,-z'
'-x+1/2,y,z'
'-y,-x,-z'
'y,x,z'
'-x,y+1/2,-z'
'x,-y+1/2,z'
'y+1/2,x+1/2,-z'
'-y+1/2,-x+1/2,z'
loop_
_atom_site_label
_atom_site_fract_x
_atom_site_fract_y
_atom_site_fract_z
Ag1 0.030 0.030 0.197
Ag2 0.250 0.250 0.460
Te1 0.250 0.250 0.979
P1 0.250 0.750 0.500
O1 0.064 0.750 0.378